(1)
# PBE-GGA TmPt3Au, relaxed
data_TmPt3Au
_chemical_formula_sum 'Tm8 Pt24 Au8'
_symmetry_space_group_name_H-M 'C m c m'
_symmetry_Int_Tables_number 63
_symmetry_space_group_name_Hall '-C 2c 2'
_cell_length_a 11.068
_cell_length_b 8.716
_cell_length_c 9.082
_cell_angle_alpha 90.00
_cell_angle_beta 90.00
_cell_angle_gamma 90.00
loop_
_atom_site_label
_atom_site_type_symbol
_atom_site_fract_x
_atom_site_fract_y
_atom_site_fract_z
Tm1 Tm 0.000 0.011 0.250
Tm2 Tm 0.000 0.399 0.750
Pt1 Pt 0.000 0.200 0.504
Pt2 Pt 0.122 0.500 0.000
Pt3 Pt 0.127 0.308 0.250
Au1 Au 0.250 0.250 0.000
# total magnetization = 0.000 μB/atom
# V = 876.2 Å³/cell

---

(2)
# PBE-GGA Tm2Pt5Au, relaxed
data_Tm2Pt5Au
_chemical_formula_sum 'Tm4 Pt10 Au2'
_symmetry_space_group_name_H-M 'P b a m'
_symmetry_Int_Tables_number 55
_cell_length_a 5.822
_cell_length_b 11.634
_cell_length_c 4.122
_cell_angle_alpha 90.00
_cell_angle_beta 90.00
_cell_angle_gamma 90.00
loop_
_symmetry_equiv_pos_as_xyz
'x,y,z'
'-x,-y,-z'
'-x,-y,z'
'x,y,-z'
'x+1/2,-y+1/2,-z'
'-x+1/2,y+1/2,z'
'-x+1/2,y+1/2,-z'
'x+1/2,-y+1/2,z'
loop_
_atom_site_label
_atom_site_type_symbol
_atom_site_fract_x
_atom_site_fract_y
_atom_site_fract_z
Tm1 Tm 0.240 0.129 0.000
Pt1 Pt 0.000 0.000 0.500
Pt2 Pt 0.007 0.751 0.500
Pt3 Pt 0.248 0.376 0.000
Au1 Au 0.000 0.500 0.500
# total magnetization = 0.000 μB/atom
# V = 279.2 Å³/cell

---

| no. | E_form (eV per atom) |
| --- | --- |
| 1 | -0.349 |
| 2 | -1.050 |